BaNaNb3 PBE relaxed; excess energy over the best structure of this formula in the dataset = 0.286 eV per atom; magnetic moment = 0.000 μB per atom
1.0
5.1558 0.0000 0.0000
0.0000 5.1558 0.0000
0.0000 0.0000 5.1558
Ba Na Nb
1 1 3
Cartesian
0.0000 0.0000 0.0000
2.5779 2.5779 2.5779
0.0000 0.0000 2.5779
0.0000 2.5779 0.0000
2.5779 0.0000 0.0000

***

GaCoPd PBE relaxed; magnetic moment = 0.365 μB per atom
1.0
-1.4594 1.4594 4.7285
1.4594 -1.4594 4.7285
1.4594 1.4594 -4.7285
Ga Co Pd
1 1 1
Cartesian
0.0000 0.0000 0.0000
0.0000 0.0000 6.0772
0.0000 0.0000 3.0850

***

ΔE_f (computed, eV/atom): 2.38 -0.21